{
  "formula": "NdHo2Tm",
  "functional": "PBE-GGA",
  "state": "optimized geometry",
  "total_magnetization_mub_per_cell": 0.0,
  "formation_energy_ev_per_fu": 0.05,
  "dft_energy_ev_per_atom": -4.5857,
  "vol_a3_per_atom": 32.2,
  "lattice_angstrom": [[3.635, 0.000, 0.000], [0.000, 11.335, 0.000], [0.000, 0.000, 6.249]],
  "species": ["Nd", "Nd", "Ho", "Ho", "Ho", "Ho", "Tm", "Tm"],
  "frac_coords": [[0.000, 0.000, 0.000], [0.500, 0.500, 0.500], [0.000, 0.247, 0.662], [0.000, 0.753, 0.662], [0.500, 0.253, 0.162], [0.500, 0.747, 0.162], [0.000, 0.500, 0.996], [0.500, 0.000, 0.496]]
}